(1)
Compound: Bi3Pb3Au2
Source: the Alexandria database
Functional: PBE-GGA
Structure: optimized geometry

Unit cell a=6.4452 b=6.4452 c=17.3416 alpha=90.00 beta=90.00 gamma=139.24
With the nearest neighbours (Å) after each atom.
Fractional positions:
Bi1 0.0774 0.9226 0.7500  2 Au 3.00
Bi2 0.1444 0.8556 0.0455  3 Au 2.94-3.11
Bi3 0.1444 0.8556 0.4545  3 Au 2.94-3.11
Bi4 0.8556 0.1444 0.5455  3 Au 2.94-3.11
Bi5 0.8556 0.1444 0.9545  3 Au 2.94-3.11
Bi6 0.9226 0.0774 0.2500  2 Au 3.00
Pb1 0.2024 0.7976 0.2500  4 Au 3.24, 5 Bi 3.38-3.62
Pb2 0.4446 0.5554 0.1035  2 Au 3.20, 4 Bi 3.40-3.45
Pb3 0.4446 0.5554 0.3965  2 Au 3.20, 4 Bi 3.40-3.45
Pb4 0.5554 0.4446 0.6035  2 Au 3.20, 4 Bi 3.40-3.45
Pb5 0.5554 0.4446 0.8965  2 Au 3.20, 4 Bi 3.40-3.45
Pb6 0.7976 0.2024 0.7500  4 Au 3.24, 5 Bi 3.38-3.62
Au1 0.2422 0.7578 0.6207  4 Bi 2.94-3.11, 4 Pb 3.20-3.24
Au2 0.2422 0.7578 0.8793  4 Bi 2.94-3.11, 4 Pb 3.20-3.24
Au3 0.7578 0.2422 0.1207  4 Bi 2.94-3.11, 4 Pb 3.20-3.24
Au4 0.7578 0.2422 0.3793  4 Bi 2.94-3.11, 4 Pb 3.20-3.24

Calculated values
Space-group type: Cmcm (63)
Formation energy in eV/f.u.: -0.02

***

(2)
Compound: CsPb3
Source: the Alexandria database
Functional: PBE-GGA
Structure: optimized geometry

Unit cell a=7.0134 b=15.9302 c=5.7805 alpha=90.00 beta=90.00 gamma=90.00
With the nearest neighbours (Å) after each atom.
Fractional positions:
Cs1 0.0000 0.2028 0.2500  10 Pb 3.82-4.22
Cs2 0.0000 0.7972 0.7500  10 Pb 3.82-4.22
Cs3 0.5000 0.2972 0.7500  10 Pb 3.82-4.22
Cs4 0.5000 0.7028 0.2500  10 Pb 3.82-4.22
Pb1 0.0000 0.3922 0.7500  6 Pb 3.15-3.48
Pb2 0.0000 0.6078 0.2500  6 Pb 3.15-3.48
Pb3 0.2489 0.0563 0.7500  7 Pb 3.15-3.52
Pb4 0.2489 0.9437 0.2500  7 Pb 3.15-3.52
Pb5 0.2511 0.4437 0.2500  7 Pb 3.15-3.52
Pb6 0.2511 0.5563 0.7500  7 Pb 3.15-3.52
Pb7 0.5000 0.1078 0.2500  6 Pb 3.15-3.48
Pb8 0.5000 0.8922 0.7500  6 Pb 3.15-3.48
Pb9 0.7489 0.4437 0.2500  7 Pb 3.15-3.52
Pb10 0.7489 0.5563 0.7500  7 Pb 3.15-3.52
Pb11 0.7511 0.0563 0.7500  7 Pb 3.15-3.52
Pb12 0.7511 0.9437 0.2500  7 Pb 3.15-3.52

Calculated values
Polymorph energy (0 for the lowest one) in meV per atom: 0
Space-group type: Cmcm (63)
Formation energy in eV/f.u.: -0.50

***

(3)
Compound: OsPb2W
Source: the Alexandria database
Functional: PBE-GGA
Structure: optimized geometry

Unit cell a=4.8150 b=4.8150 c=3.3448 alpha=90.00 beta=90.00 gamma=90.00
With the nearest neighbours (Å) after each atom.
Fractional positions:
Os1 0.0000 0.0000 0.0000  8 Pb 2.93
Pb1 0.0000 0.5000 0.5000  4 W 2.93, 4 Os 2.93
Pb2 0.5000 0.0000 0.5000  4 W 2.93, 4 Os 2.93
W1 0.5000 0.5000 0.0000  8 Pb 2.93

Calculated values
Polymorph energy (0 for the lowest one) in meV per atom: 831
Space-group type: P4/mmm (123)
Formation energy in eV/f.u.: 4.83

***

(4)
Compound: Sr4ScP
Source: the Alexandria database
Functional: PBE-GGA
Structure: optimized geometry

Unit cell a=6.9813 b=6.9813 c=6.9813 alpha=60.00 beta=60.00 gamma=60.00
With the nearest neighbours (Å) after each atom.
Fractional positions:
Sr1 0.1250 0.1250 0.1250  6 Sr 3.49
Sr2 0.1250 0.1250 0.6249  6 Sr 3.49
Sr3 0.1250 0.6249 0.1250  6 Sr 3.49
Sr4 0.6249 0.1250 0.1250  6 Sr 3.49
Sc1 0.5000 0.5000 0.5000  12 Sr 4.09, 4 P 4.28
P1 0.7500 0.7500 0.7500  12 Sr 4.09, 4 Sc 4.28

Calculated values
Space-group type: F-43m (216)
Formation energy in eV/f.u.: 4.00

***

(5)
Compound: CdInSb
Source: the Alexandria database
Functional: PBE-GGA
Structure: optimized geometry

Unit cell a=6.8538 b=6.8538 c=6.8538 alpha=47.88 beta=47.88 gamma=47.88
With the nearest neighbours (Å) after each atom.
Fractional positions:
Cd1 0.0820 0.0820 0.0820  1 Cd 2.98, 4 Sb 3.01-3.21, 3 In 3.21
Cd2 0.9180 0.9180 0.9180  1 Cd 2.98, 4 Sb 3.01-3.21, 3 In 3.21
In1 0.4138 0.4138 0.4138  4 Sb 3.02-3.21, 1 In 3.13, 3 Cd 3.21
In2 0.5862 0.5862 0.5862  4 Sb 3.02-3.21, 1 In 3.13, 3 Cd 3.21
Sb1 0.2476 0.2476 0.2476  4 Cd 3.01-3.21, 4 In 3.02-3.21
Sb2 0.7524 0.7524 0.7524  4 Cd 3.01-3.21, 4 In 3.02-3.21

Calculated values
Uncorrected formation energy in meV per atom: 21.7
Space-group type: R-3m (166)

***

(6)
Compound: NiTeBr2
Source: the Alexandria database
Functional: PBE-GGA
Structure: optimized geometry

Unit cell a=3.2308 b=7.0704 c=10.5712 alpha=90.00 beta=90.00 gamma=90.00
With the nearest neighbours (Å) after each atom.
Fractional positions:
Ni1 0.0000 0.0000 0.0000  4 Br 2.32
Ni2 0.5000 0.5000 0.5000  4 Br 2.32
Te1 0.0000 0.0000 0.5000  2 Te 3.23
Te2 0.5000 0.5000 0.0000  2 Te 3.23
Br1 0.0000 0.5000 0.3420  2 Ni 2.32
Br2 0.0000 0.5000 0.6580  2 Ni 2.32
Br3 0.5000 0.0000 0.1580  2 Ni 2.32
Br4 0.5000 0.0000 0.8420  2 Ni 2.32

Calculated values
Polymorph energy (0 for the lowest one) in meV per atom: 343
Uncorrected formation energy in meV per atom: 94.9
Space-group type: Immm (71)

***

(7)
Compound: BaNa2SnBr6
Source: the Alexandria database
Functional: PBE-GGA
Structure: optimized geometry

Unit cell a=8.2063 b=8.2063 c=8.2063 alpha=56.41 beta=56.41 gamma=56.41
With the nearest neighbours (Å) after each atom.
Fractional positions:
Ba1 0.0000 0.0000 0.0000  6 Br 3.23-3.28
Na1 0.2913 0.2913 0.2913  6 Br 2.96-3.12
Na2 0.8004 0.8004 0.8004  6 Br 2.98-3.05
Sn1 0.4904 0.4904 0.4904  6 Br 2.98-3.08
Br1 0.0895 0.6670 0.4307  2 Na 2.98-3.12, 1 Sn 2.98, 1 Ba 3.23
Br2 0.1956 0.5775 0.9017  2 Na 2.96-3.05, 1 Sn 3.08, 1 Ba 3.28
Br3 0.4307 0.0895 0.6670  2 Na 2.98-3.12, 1 Sn 2.98, 1 Ba 3.23
Br4 0.5775 0.9017 0.1956  2 Na 2.96-3.05, 1 Sn 3.08, 1 Ba 3.28
Br5 0.6670 0.4307 0.0895  2 Na 2.98-3.12, 1 Sn 2.98, 1 Ba 3.23
Br6 0.9017 0.1956 0.5775  2 Na 2.96-3.05, 1 Sn 3.08, 1 Ba 3.28

Calculated values
Uncorrected formation energy in meV per atom: -1491.4
Space-group type: R3 (146)

***

(8)
Compound: CaNbGa2Te
Source: the Alexandria database
Functional: PBE-GGA
Structure: optimized geometry

Unit cell a=5.4828 b=5.4828 c=5.2287 alpha=90.00 beta=90.00 gamma=90.00
With the nearest neighbours (Å) after each atom.
Fractional positions:
Ca1 0.0000 0.0000 0.0000  8 Ga 3.79, 4 Nb 3.88
Nb1 0.5000 0.5000 0.0000  2 Te 2.61
Ga1 0.0000 0.5000 0.5000  2 Te 2.74
Ga2 0.5000 0.0000 0.5000  2 Te 2.74
Te1 0.5000 0.5000 0.5000  2 Nb 2.61, 4 Ga 2.74

Calculated values
Uncorrected formation energy in meV per atom: 677.6
Space-group type: P4/mmm (123)

***

(9)
Compound: PuZnHg
Source: the Alexandria database
Functional: PBE-GGA
Structure: optimized geometry

Unit cell a=6.7650 b=6.7650 c=6.7650 alpha=90.00 beta=90.00 gamma=90.00
With the nearest neighbours (Å) after each atom.
Fractional positions:
Pu1 0.0000 0.0000 0.0000  4 Zn 2.93
Pu2 0.0000 0.5000 0.5000  4 Zn 2.93
Pu3 0.5000 0.0000 0.5000  4 Zn 2.93
Pu4 0.5000 0.5000 0.0000  4 Zn 2.93
Zn1 0.2500 0.2500 0.2500  4 Hg 2.93, 4 Pu 2.93
Zn2 0.2500 0.7500 0.7500  4 Hg 2.93, 4 Pu 2.93
Zn3 0.7500 0.2500 0.7500  4 Hg 2.93, 4 Pu 2.93
Zn4 0.7500 0.7500 0.2500  4 Hg 2.93, 4 Pu 2.93
Hg1 0.0000 0.0000 0.5000  4 Zn 2.93
Hg2 0.0000 0.5000 0.0000  4 Zn 2.93
Hg3 0.5000 0.0000 0.0000  4 Zn 2.93
Hg4 0.5000 0.5000 0.5000  4 Zn 2.93

Calculated values
Polymorph energy (0 for the lowest one) in meV per atom: 282
Space-group type: F-43m (216)
Formation energy in eV/f.u.: 0.35

***

(10)
Compound: CdCu2Cl
Source: the Alexandria database
Functional: PBE-GGA
Structure: optimized geometry

Unit cell a=3.1848 b=3.1848 c=24.0129 alpha=90.00 beta=90.00 gamma=120.00
With the nearest neighbours (Å) after each atom.
Fractional positions:
Cd1 0.0000 0.0000 0.0000  3 Cu 2.78
Cd2 0.3333 0.6667 0.6667  3 Cu 2.78
Cd3 0.6667 0.3333 0.3333  3 Cu 2.78
Cu1 0.0000 0.0000 0.2466  3 Cu 2.52, 3 Cd 2.78
Cu2 0.0000 0.0000 0.5082  3 Cl 2.44, 3 Cu 2.52
Cu3 0.3333 0.6667 0.1749  3 Cl 2.44, 3 Cu 2.52
Cu4 0.3333 0.6667 0.9132  3 Cu 2.52, 3 Cd 2.78
Cu5 0.6667 0.3333 0.5799  3 Cu 2.52, 3 Cd 2.78
Cu6 0.6667 0.3333 0.8416  3 Cl 2.44, 3 Cu 2.52
Cl1 0.0000 0.0000 0.7749  3 Cu 2.44
Cl2 0.3333 0.6667 0.4416  3 Cu 2.44
Cl3 0.6667 0.3333 0.1083  3 Cu 2.44

Calculated values
Polymorph energy (0 for the lowest one) in meV per atom: 59
Uncorrected formation energy in meV per atom: 2.9
Space-group type: R3m (160)

***

(11)
Compound: CaSm6Dy3Er2
Source: the Alexandria database
Functional: PBE-GGA
Structure: optimized geometry

Unit cell a=6.2523 b=6.2523 c=11.8450 alpha=95.01 beta=95.01 gamma=119.97
With the nearest neighbours (Å) after each atom.
Fractional positions:
Ca1 0.0000 0.0000 0.0000  6 Er 3.61, 6 Sm 3.63
Sm1 0.0847 0.4254 0.2522  3 Dy 3.54-3.58, 6 Sm 3.57-3.69, 2 Er 3.59-3.60, 1 Ca 3.63
Sm2 0.2558 0.2558 0.7472  3 Dy 3.53-3.57, 6 Sm 3.57-3.69, 2 Er 3.60, 1 Ca 3.63
Sm3 0.4254 0.0847 0.2522  3 Dy 3.54-3.58, 6 Sm 3.57-3.69, 2 Er 3.59-3.60, 1 Ca 3.63
Sm4 0.5746 0.9153 0.7478  3 Dy 3.54-3.58, 6 Sm 3.57-3.69, 2 Er 3.59-3.60, 1 Ca 3.63
Sm5 0.7442 0.7442 0.2528  3 Dy 3.53-3.57, 6 Sm 3.57-3.69, 2 Er 3.60, 1 Ca 3.63
Sm6 0.9153 0.5746 0.7478  3 Dy 3.54-3.58, 6 Sm 3.57-3.69, 2 Er 3.59-3.60, 1 Ca 3.63
Dy1 0.1663 0.8337 0.5000  6 Sm 3.54-3.58, 6 Dy 3.60-3.61
Dy2 0.5000 0.5000 0.5000  6 Sm 3.53-3.58, 6 Dy 3.61
Dy3 0.8337 0.1663 0.5000  6 Sm 3.54-3.58, 6 Dy 3.60-3.61
Er1 0.3334 0.6666 0.0000  6 Sm 3.59-3.60, 3 Er 3.61, 3 Ca 3.61
Er2 0.6666 0.3334 0.0000  6 Sm 3.59-3.60, 3 Er 3.61, 3 Ca 3.61

Calculated values
Space-group type: C2/m (12)
Formation energy in eV/f.u.: 0.53

***

(12)
Compound: KCdInBrO
Source: the Alexandria database
Functional: PBE-GGA
Structure: optimized geometry

Unit cell a=3.4853 b=4.2155 c=9.2683 alpha=88.59 beta=89.88 gamma=65.66
With the nearest neighbours (Å) after each atom.
Fractional positions:
K1 0.0000 0.0000 0.0000  3 O 2.75-2.85
Cd1 0.0229 0.9241 0.4765  3 In 2.90-3.13, 3 Br 2.94-3.17
In1 0.7615 0.4736 0.6856  2 O 2.19-2.20
Br1 0.3110 0.3774 0.2608  3 Cd 2.94-3.17
O1 0.2857 0.4251 0.8286  2 In 2.19-2.20

Calculated values
Polymorph energy (0 for the lowest one) in meV per atom: 49
Uncorrected formation energy in meV per atom: -910.0
Space-group type: P1 (1)